Er5Cu4Rh (PBE, relaxed); magnetic moment = 0.0 μB/cell; volume = 20.20 Å³ per atom; DFT formation energy = -0.41 eV/atom; space-group type = P4/mmm
1.0
3.4229 0.0000 0.0000
0.0000 3.4229 0.0000
0.0000 0.0000 17.2396
Cu Rh Er
4 1 5
Direct
0.0000 0.0000 0.4002
0.0000 0.0000 0.8009
0.0000 0.0000 0.1991
0.0000 0.0000 0.5998
0.0000 0.0000 0.0000
0.5000 0.5000 0.7015
0.5000 0.5000 0.2985
0.5000 0.5000 0.9033
0.5000 0.5000 0.5000
0.5000 0.5000 0.0967


ErCu2Rh (PBE, relaxed); magnetic moment = 0.0 μB/cell; volume = 16.02 Å³ per atom; DFT formation energy = -0.28 eV/atom; space-group type = Fm-3m
1.0
-2.5061 -2.9327 2.3006
1.9313 -2.7574 2.9733
-0.6904 0.6000 4.3974
Cu Er Rh
2 1 1
Direct
0.2500 0.2500 0.2500
0.7500 0.7500 0.7500
0.0000 0.0000 0.0000
0.5000 0.5000 0.5000